# LiZn3Pd2 | Alexandria via LeMat-Bulk | PBE | optimized geometry
# Total DFT energy (no corrections) ... -3.0161 eV/atom
data_LiZn3Pd2
_cell_length_a 7.908
_cell_length_b 8.785
_cell_length_c 5.270
_cell_angle_alpha 90.00
_cell_angle_beta 99.69
_cell_angle_gamma 90.00
_symmetry_space_group_name_H-M 'C 1 2/c 1'
_symmetry_Int_Tables_number 15
loop_
_symmetry_equiv_pos_as_xyz
'x,y,z'
'-x,-y,-z'
'-x,y,-z+1/2'
'x,-y,z+1/2'
'x+1/2,y+1/2,z'
'-x+1/2,-y+1/2,-z'
'-x+1/2,y+1/2,-z+1/2'
'x+1/2,-y+1/2,z+1/2'
loop_
_atom_site_label
_atom_site_fract_x
_atom_site_fract_y
_atom_site_fract_z
Li1 0.000 0.014 0.250
Zn1 0.000 0.293 0.250
Zn2 0.188 0.489 0.989
Pd1 0.175 0.240 0.725